No. 1
Here is crystalline YZnAs at its relaxed geometry from Alexandria. Energies are from PBEsol.

Unit cell a=4.6862 b=4.6862 c=4.6862 alpha=60.00 beta=60.00 gamma=60.00
Positions (direct):
As: 0.5000 0.5000 0.5000
Zn: 0.0000 0.0000 0.0000
Y: 0.2500 0.2500 0.2500

Computed properties:
* calculated total energy: -14.8 eV/cell
* total moment: 0.0 Bohr magnetons per cell
* density: 5.231 g cm⁻³
* SG: No. 216
* formation energy: -0.423 eV/atom

No. 2
Here is crystalline YZn2As at its relaxed geometry from Alexandria. Energies are from PBEsol.

Unit cell a=4.2238 b=4.2238 c=5.5171 alpha=67.49 beta=67.49 gamma=60.00
Positions (direct):
Zn: 0.7315 0.7315 0.8054
Zn: 0.0326 0.0326 0.9022
Y: 0.2594 0.2594 0.2217
As: 0.4764 0.4764 0.5707

Computed properties:
* calculated total energy: -17.0 eV/cell
* total moment: 0.0 Bohr magnetons per cell
* density: 6.399 g cm⁻³
* SG: No. 160
* formation energy: -0.474 eV/atom

No. 3
Here is crystalline YZn2As at its relaxed geometry from Alexandria. Energies are from PBEsol.

Unit cell a=3.5609 b=3.5609 c=5.9345 alpha=90.00 beta=90.00 gamma=90.00
Positions (direct):
Zn: 0.0000 0.0000 0.7882
Zn: 0.0000 0.0000 0.2118
As: 0.5000 0.5000 0.0000
Y: 0.5000 0.5000 0.5000

Computed properties:
* calculated total energy: -16.1 eV/cell
* total moment: 0.0 Bohr magnetons per cell
* density: 6.502 g cm⁻³
* SG: No. 123
* formation energy: -0.241 eV/atom

No. 4
Here is crystalline Y2ZnAs at its relaxed geometry from Alexandria. Energies are from PBEsol.

Unit cell a=3.6335 b=3.6348 c=6.5100 alpha=90.00 beta=90.00 gamma=90.00
Positions (direct):
Y: 0.0000 0.9998 0.2421
Y: 0.0000 0.0002 0.7579
Zn: 0.5000 0.5000 0.5000
As: 0.5000 0.5000 0.0000

Computed properties:
* offset from the most stable computed form: 121.4 meV/atom
* calculated total energy: -23.5 eV/cell
* total moment: 0.0 Bohr magnetons per cell
* density: 6.144 g cm⁻³
* SG: No. 123
* formation energy: -0.784 eV/atom

No. 5
Here is crystalline Y3ZnAs at its relaxed geometry from Alexandria. Energies are from PBEsol.

Unit cell a=5.2249 b=5.2249 c=5.2249 alpha=90.00 beta=90.00 gamma=90.00
Positions (direct):
Zn: 0.0000 0.0000 0.0000
Y: 0.5000 0.0000 0.0000
As: 0.5000 0.5000 0.5000
Y: 0.0000 0.0000 0.5000
Y: 0.0000 0.5000 0.0000

Computed properties:
* calculated total energy: -27.3 eV/cell
* total moment: 0.0 Bohr magnetons per cell
* density: 4.739 g cm⁻³
* SG: No. 221
* formation energy: -0.032 eV/atom

No. 6
Here is crystalline YZnAs2 at its relaxed geometry from Alexandria. Energies are from PBEsol.

Unit cell a=5.9904 b=5.9904 c=5.9904 alpha=107.53 beta=107.53 gamma=113.43
Positions (direct):
Zn: 0.7500 0.2500 0.5000
As: 0.1250 0.5804 0.9554
Y: 0.2500 0.7500 0.5000
As: 0.8304 0.8750 0.4554
As: 0.6250 0.1696 0.0446
Y: 0.0000 0.0000 0.0000
As: 0.4196 0.3750 0.5446
Zn: 0.5000 0.5000 0.0000

Computed properties:
* calculated total energy: -42.1 eV/cell
* total moment: 0.0 Bohr magnetons per cell
* density: 6.126 g cm⁻³
* SG: No. 122
* formation energy: -0.604 eV/atom